# La4MgTlZn2

A relaxed structure of La4MgTlZn2 (PBE, Alexandria via LeMat-Bulk).

extended XYZ file:
```
8
Lattice="2.732 1.577 8.993 -2.732 1.577 8.993 0.000 -3.154 8.993" Properties=species:S:1:pos:R:3 pbc="T T T"
La 0.000 0.000 3.346
La 0.000 0.000 10.107
La 0.000 0.000 16.872
La 0.000 0.000 23.633
Mg 0.000 0.000 0.000
Tl 0.000 0.000 13.490
Zn 0.000 0.000 6.891
Zn 0.000 0.000 20.088
```

## Properties
Fermi-level density of states: 9.1 states/eV/cell
total magnetization: 0.000 μB/atom
formation energy from the elements: -0.269 eV/atom
calculated total energy: -28.4 eV per cell
SG: R-3m (166)